[1]
Material: Pm6Pr12Mg
Method: DFT, PBE
State: relaxed

```
Pm6Pr12Mg
1.0
6.7150 3.8769 4.3970
-6.7150 3.8769 4.3970
0.0000 -7.7538 4.3970
Pm Pr Mg
6 12 1
Cartesian
-1.8145 -1.0476 3.6083
1.8145 -1.0476 3.6083
0.0000 2.0952 3.6083
0.0000 -2.0952 9.5827
-1.8145 1.0476 9.5827
1.8145 1.0476 9.5827
0.0000 -4.5679 3.6701
-3.9559 2.2840 3.6701
-1.7525 -3.0354 6.5955
-3.5049 0.0000 6.5955
-3.9559 -2.2840 9.5209
1.7525 -3.0354 6.5955
-1.7525 3.0354 6.5955
3.9559 2.2840 3.6701
3.5049 0.0000 6.5955
1.7525 3.0354 6.5955
3.9559 -2.2840 9.5209
0.0000 4.5679 9.5209
0.0000 0.0000 6.5955
```

## Properties
As for the formation enthalpy at 0 K: 122.1 meV/atom. For the magnetic moment, the calculation gives 0.00 μB per cell. Its total energy is -85.133 eV per cell. The calculation puts the density of states at the Fermi level at 1.5301 states/eV per atom.



[2]
Material: Hf3TiCo
Method: DFT, PBE
State: relaxed

```
Hf3TiCo
1.0
4.7594 0.0000 0.0000
0.0000 4.7594 0.0000
0.0000 0.0000 4.7594
Hf Ti Co
3 1 1
Cartesian
0.0000 0.0000 2.3797
0.0000 2.3797 0.0000
2.3797 0.0000 0.0000
2.3797 2.3797 2.3797
0.0000 0.0000 0.0000
```

## Properties
The energy above the most stable polymorph in this dataset comes out at 0.3833 eV per atom. As for the formation enthalpy at 0 K: 322.9 meV/atom. For the magnetic moment, the calculation gives 0.00 μB per cell. Its total energy is -43.247 eV per cell. The calculation puts the density of states at the Fermi level at 1.2381 states/eV per atom.



[3]
Material: Sm8Bi3Te4Se
Method: DFT, PBE
State: relaxed

```
Sm8Bi3Te4Se
1.0
4.4610 2.5755 7.2817
-4.4610 2.5755 7.2817
0.0000 -5.1511 7.2817
Sm Bi Te Se
8 3 4 1
Cartesian
0.0000 0.0000 5.4609
0.0000 -2.4566 9.1839
-2.1275 1.2283 9.1839
-2.1274 -1.2283 12.6611
2.1275 1.2283 9.1839
2.1274 -1.2283 12.6611
0.0000 2.4566 12.6611
0.0000 0.0000 16.3841
-4.4610 0.0000 10.9225
-2.2305 1.2878 3.6408
2.2305 1.2878 3.6408
0.0000 0.0000 0.0000
-2.2305 -1.2878 7.2817
-2.2305 1.2878 14.5633
0.0000 2.5755 7.2817
0.0000 0.0000 10.9225
```

## Properties
For the magnetic moment, the calculation gives 0.00 μB per cell. Its total energy is -85.791 eV per cell. Its formation energy (no corrections) is -1.27 eV per atom. The calculation puts the density of states at the Fermi level at 0.4526 states/eV per atom.



[4]
Material: KPdAu3
Method: DFT, PBE
State: relaxed

```
KPdAu3
1.0
5.1698 0.0000 0.0000
0.0000 5.1698 0.0000
0.0000 0.0000 5.1698
K Pd Au
1 1 3
Cartesian
0.0000 0.0000 0.0000
2.5849 2.5849 2.5849
0.0000 2.5849 2.5849
2.5849 0.0000 2.5849
2.5849 2.5849 0.0000
```

## Properties
The energy above the most stable polymorph in this dataset comes out at 0.2768 eV per atom. As for the formation enthalpy at 0 K: 143.5 meV/atom. For the magnetic moment, the calculation gives 0.00 μB per cell. Its total energy is -15.405 eV per cell. The calculation puts the density of states at the Fermi level at 0.3327 states/eV per atom.



[5]
Material: Ti2Cu2Hg
Method: DFT, PBE
State: relaxed

```
Ti2Cu2Hg
1.0
7.0932 0.0000 0.0000
0.0000 7.0932 0.0000
0.0000 0.0000 3.1403
Ti Cu Hg
4 4 2
Cartesian
1.1862 2.3604 0.0000
2.3604 5.9070 0.0000
4.7328 1.1862 0.0000
5.9070 4.7328 0.0000
0.8859 4.4325 1.5701
2.6607 0.8859 1.5701
4.4325 6.2073 1.5701
6.2073 2.6607 1.5701
0.0000 0.0000 1.5701
3.5466 3.5466 1.5701
```

## Properties
The energy above the most stable polymorph in this dataset comes out at 0.0000 eV per atom. As for the formation enthalpy at 0 K: -42.3 meV/atom. For the magnetic moment, the calculation gives 2.46 μB per cell. Its total energy is -48.991 eV per cell. The calculation puts the density of states at the Fermi level at 0.9496 states/eV per atom.



[6]
Material: YRe2Pt
Method: DFT, PBE
State: relaxed

```
YRe2Pt
1.0
1.4186 0.8190 9.8977
-1.4186 0.8190 9.8977
0.0000 -1.6380 9.8977
Y Re Pt
1 2 1
Cartesian
0.0000 0.0000 0.0000
0.0000 0.0000 7.1861
0.0000 0.0000 22.5069
0.0000 0.0000 14.8465
```

## Properties
The energy above the most stable polymorph in this dataset comes out at 0.6155 eV per atom. As for the formation enthalpy at 0 K: 482.8 meV/atom. For the magnetic moment, the calculation gives 0.09 μB per cell. Its total energy is -35.470 eV per cell. The calculation puts the density of states at the Fermi level at 1.1696 states/eV per atom.